<one>
A relaxed structure of PdPtSO. Source: the Open Quantum Materials Database, functional PBE.

SG: P2_12_12_1, No. 19
Calculated volume in Å³ per atom: 16.9

The structure in POSCAR format:
```
PdPtSO
1.0
5.190 0.000 0.000
0.000 6.610 0.000
0.000 0.000 7.883
Pd Pt S O
4 4 4 4
direct
0.218 0.214 0.004
0.282 0.786 0.504
0.718 0.286 0.996
0.782 0.714 0.496
0.092 0.663 0.963
0.408 0.337 0.463
0.592 0.837 0.037
0.908 0.163 0.537
0.001 0.434 0.380
0.499 0.566 0.880
0.501 0.066 0.620
0.999 0.934 0.120
0.000 0.388 0.847
0.000 0.888 0.653
0.500 0.112 0.153
0.500 0.612 0.347
```


<two>
A relaxed structure of PdPtSO. Source: the Open Quantum Materials Database, functional PBE.

SG: Pbca, No. 61
Calculated volume in Å³ per atom: 14.7

The structure in POSCAR format:
```
PdPtSO
1.0
6.470 0.000 0.000
0.000 9.434 0.000
0.000 0.000 7.726
Pd Pt S O
8 8 8 8
direct
0.229 0.003 0.047
0.229 0.497 0.547
0.271 0.503 0.047
0.271 0.997 0.547
0.729 0.003 0.453
0.729 0.497 0.953
0.771 0.503 0.453
0.771 0.997 0.953
0.011 0.690 0.252
0.011 0.810 0.752
0.489 0.190 0.252
0.489 0.310 0.752
0.511 0.690 0.248
0.511 0.810 0.748
0.989 0.190 0.248
0.989 0.310 0.748
0.052 0.566 0.798
0.052 0.934 0.298
0.448 0.066 0.798
0.448 0.434 0.298
0.552 0.566 0.702
0.552 0.934 0.202
0.948 0.066 0.702
0.948 0.434 0.202
0.238 0.193 0.407
0.238 0.307 0.907
0.262 0.693 0.407
0.262 0.807 0.907
0.738 0.193 0.093
0.738 0.307 0.593
0.762 0.693 0.093
0.762 0.807 0.593
```


<three>
A relaxed structure of PdPtSO. Source: the Open Quantum Materials Database, functional PBE.

SG: Pbca, No. 61
Calculated volume in Å³ per atom: 15.1

The structure in POSCAR format:
```
PdPtSO
1.0
5.544 0.000 0.000
0.000 6.873 0.000
0.000 0.000 12.723
Pd Pt S O
8 8 8 8
direct
0.003 0.074 0.248
0.003 0.426 0.748
0.497 0.574 0.248
0.497 0.926 0.748
0.503 0.074 0.252
0.503 0.426 0.752
0.997 0.574 0.252
0.997 0.926 0.752
0.137 0.662 0.907
0.137 0.838 0.407
0.363 0.162 0.907
0.363 0.338 0.407
0.637 0.662 0.593
0.637 0.838 0.093
0.863 0.162 0.593
0.863 0.338 0.093
0.237 0.098 0.527
0.237 0.402 0.027
0.263 0.598 0.527
0.263 0.902 0.027
0.737 0.098 0.973
0.737 0.402 0.473
0.763 0.598 0.973
0.763 0.902 0.473
0.034 0.179 0.831
0.034 0.321 0.331
0.466 0.679 0.831
0.466 0.821 0.331
0.534 0.179 0.669
0.534 0.321 0.169
0.966 0.679 0.669
0.966 0.821 0.169
```


Going by the energies, <three> is most stable and the next is 0.051 eV/atom up.


<one>
A relaxed structure of TePdPtO. Source: the Open Quantum Materials Database, functional PBE.

SG: Pbcm, No. 57
Calculated volume in Å³ per atom: 17.4

The structure in POSCAR format:
```
TePdPtO
1.0
7.606 0.000 0.000
0.000 6.303 0.000
0.000 0.000 5.817
Te Pd Pt O
4 4 4 4
direct
0.125 0.023 0.250
0.125 0.477 0.750
0.875 0.523 0.250
0.875 0.977 0.750
0.213 0.618 0.250
0.213 0.882 0.750
0.787 0.118 0.250
0.787 0.382 0.750
0.339 0.250 0.000
0.339 0.250 0.500
0.661 0.750 0.000
0.661 0.750 0.500
0.486 0.644 0.250
0.486 0.856 0.750
0.514 0.144 0.250
0.514 0.356 0.750
```


<two>
A relaxed structure of TePdPtO. Source: the Open Quantum Materials Database, functional PBE.

SG: P4/nmm, No. 129
Calculated volume in Å³ per atom: 18.2

The structure in POSCAR format:
```
TePdPtO
1.0
4.061 0.000 0.000
0.000 4.061 0.000
0.000 0.000 8.842
Te Pd Pt O
2 2 2 2
direct
0.250 0.250 0.139
0.750 0.750 0.861
0.250 0.250 0.833
0.750 0.750 0.167
0.250 0.250 0.439
0.750 0.750 0.561
0.250 0.750 0.500
0.750 0.250 0.500
```


<three>
A relaxed structure of TePdPtO. Source: the Open Quantum Materials Database, functional PBE.

SG: P4/nmm, No. 129
Calculated volume in Å³ per atom: 16.7

The structure in POSCAR format:
```
TePdPtO
1.0
4.019 0.000 0.000
0.000 4.019 0.000
0.000 0.000 8.269
Te Pd Pt O
2 2 2 2
direct
0.250 0.250 0.221
0.750 0.750 0.779
0.250 0.250 0.741
0.750 0.750 0.259
0.250 0.750 0.500
0.750 0.250 0.500
0.250 0.250 0.994
0.750 0.750 0.006
```


<four>
A relaxed structure of TePdPtO. Source: the Open Quantum Materials Database, functional PBE.

SG: Pbca, No. 61
Calculated volume in Å³ per atom: 17.7

The structure in POSCAR format:
```
TePdPtO
1.0
6.939 0.000 0.000
0.000 11.195 0.000
0.000 0.000 7.286
Te Pd Pt O
8 8 8 8
direct
0.015 0.018 0.248
0.015 0.482 0.748
0.485 0.518 0.248
0.485 0.982 0.748
0.515 0.018 0.252
0.515 0.482 0.752
0.985 0.518 0.252
0.985 0.982 0.752
0.024 0.729 0.735
0.024 0.771 0.235
0.476 0.229 0.735
0.476 0.271 0.235
0.524 0.729 0.765
0.524 0.771 0.265
0.976 0.229 0.765
0.976 0.271 0.265
0.233 0.602 0.982
0.233 0.898 0.482
0.267 0.102 0.982
0.267 0.398 0.482
0.733 0.602 0.518
0.733 0.898 0.018
0.767 0.102 0.518
0.767 0.398 0.018
0.218 0.231 0.605
0.218 0.269 0.105
0.282 0.731 0.605
0.282 0.769 0.105
0.718 0.231 0.895
0.718 0.269 0.395
0.782 0.731 0.895
0.782 0.769 0.395
```


Going by the energies, <one> is most stable and the next is 0.034 eV/atom up.


<one>
A relaxed structure of TePdPtO. Source: the Open Quantum Materials Database, functional PBE.

SG: Pca2_1, No. 29
Calculated volume in Å³ per atom: 17.2

The structure in POSCAR format:
```
TePdPtO
1.0
5.810 0.000 0.000
0.000 7.191 0.000
0.000 0.000 6.595
Te Pd Pt O
4 4 4 4
direct
0.098 0.165 0.000
0.402 0.165 0.500
0.598 0.835 0.000
0.902 0.835 0.500
0.107 0.492 0.852
0.393 0.492 0.352
0.607 0.508 0.852
0.893 0.508 0.352
0.014 0.806 0.112
0.486 0.806 0.612
0.514 0.194 0.112
0.986 0.194 0.612
0.135 0.765 0.715
0.365 0.765 0.215
0.635 0.235 0.715
0.865 0.235 0.215
```


<two>
A relaxed structure of TePdPtO. Source: the Open Quantum Materials Database, functional PBE.

SG: P2_12_12_1, No. 19
Calculated volume in Å³ per atom: 18.1

The structure in POSCAR format:
```
TePdPtO
1.0
5.529 0.000 0.000
0.000 6.987 0.000
0.000 0.000 7.495
Te Pd Pt O
4 4 4 4
direct
0.239 0.030 0.291
0.261 0.970 0.791
0.739 0.470 0.709
0.761 0.530 0.209
0.041 0.671 0.945
0.459 0.329 0.445
0.541 0.829 0.055
0.959 0.171 0.555
0.025 0.244 0.972
0.475 0.756 0.472
0.525 0.256 0.028
0.975 0.744 0.528
0.213 0.570 0.397
0.287 0.430 0.897
0.713 0.930 0.603
0.787 0.070 0.103
```


Going by the energies, <one> is most stable and the next is 0.125 eV/atom up.


<one>
A relaxed structure of Rb2Pd2O5. Source: the Open Quantum Materials Database, functional PBE.

SG: P4/mmm, No. 123
Calculated volume in Å³ per atom: 15.4

The structure in POSCAR format:
```
Rb2Pd2O5
1.0
3.918 0.000 0.000
0.000 3.918 0.000
0.000 0.000 9.030
Rb Pd O
2 2 5
direct
0.000 0.000 0.000
0.000 0.000 0.500
0.500 0.500 0.225
0.500 0.500 0.775
0.000 0.500 0.272
0.000 0.500 0.728
0.500 0.000 0.272
0.500 0.000 0.728
0.500 0.500 0.000
```


<two>
A relaxed structure of Rb2Pd2O5. Source: the Open Quantum Materials Database, functional PBE.

SG: P4/mmm, No. 123
Calculated volume in Å³ per atom: 19.1

The structure in POSCAR format:
```
Rb2Pd2O5
1.0
4.028 0.000 0.000
0.000 4.028 0.000
0.000 0.000 10.580
Rb Pd O
2 2 5
direct
0.000 0.000 0.246
0.000 0.000 0.754
0.500 0.500 0.000
0.500 0.500 0.500
0.000 0.000 0.000
0.000 0.500 0.432
0.000 0.500 0.568
0.500 0.000 0.432
0.500 0.000 0.568
```


Going by the energies, <one> is most stable and the next is 0.532 eV/atom up.


<one>
A relaxed structure of Rb2Pd3O4. Source: the Open Quantum Materials Database, functional PBE.

SG: Fmmm, No. 69
Calculated volume in Å³ per atom: 18.0

The structure in POSCAR format:
```
Rb2Pd3O4
1.0
0.000 4.752 5.827
2.928 0.000 5.827
2.928 4.752 0.000
Rb Pd O
2 3 4
direct
0.179 0.179 0.821
0.821 0.821 0.179
0.000 0.000 0.500
0.500 0.500 0.000
0.500 0.500 0.500
0.220 0.562 0.438
0.438 0.780 0.220
0.562 0.220 0.780
0.780 0.438 0.562
```


<two>
A relaxed structure of Rb2Pd3O4. Source: the Open Quantum Materials Database, functional PBE.

SG: Immm, No. 71
Calculated volume in Å³ per atom: 14.7

The structure in POSCAR format:
```
Rb2Pd3O4
1.0
-1.593 2.803 7.388
1.593 -2.803 7.388
1.593 2.803 -7.388
Rb Pd O
2 3 4
direct
0.209 0.209 0.000
0.791 0.791 0.000
0.000 0.500 0.500
0.408 0.908 0.500
0.592 0.092 0.500
0.163 0.400 0.763
0.362 0.600 0.763
0.638 0.400 0.237
0.837 0.600 0.237
```


Going by the energies, <one> is most stable and the next is 0.056 eV/atom up.


<one>
A relaxed structure of Re2Pd2O5. Source: the Open Quantum Materials Database, functional PBE.

SG: P4/mmm, No. 123
Calculated volume in Å³ per atom: 12.3

The structure in POSCAR format:
```
Re2Pd2O5
1.0
3.760 0.000 0.000
0.000 3.760 0.000
0.000 0.000 7.830
Re Pd O
2 2 5
direct
0.000 0.000 0.000
0.000 0.000 0.500
0.500 0.500 0.228
0.500 0.500 0.772
0.000 0.500 0.145
0.000 0.500 0.855
0.500 0.000 0.145
0.500 0.000 0.855
0.500 0.500 0.500
```


<two>
A relaxed structure of Re2Pd2O5. Source: the Open Quantum Materials Database, functional PBE.

SG: P4/mmm, No. 123
Calculated volume in Å³ per atom: 12.1

The structure in POSCAR format:
```
Re2Pd2O5
1.0
3.830 0.000 0.000
0.000 3.830 0.000
0.000 0.000 7.410
Re Pd O
2 2 5
direct
0.000 0.000 0.227
0.000 0.000 0.773
0.500 0.500 0.000
0.500 0.500 0.500
0.000 0.000 0.500
0.000 0.500 0.232
0.000 0.500 0.768
0.500 0.000 0.232
0.500 0.000 0.768
```


Going by the energies, <two> is most stable and the next is 0.843 eV/atom up.


<one>
A relaxed structure of SnPdSO. Source: the Open Quantum Materials Database, functional PBE.

SG: P2_12_12_1, No. 19
Calculated volume in Å³ per atom: 17.7

The structure in POSCAR format:
```
SnPdSO
1.0
6.048 0.000 0.000
0.000 6.544 0.000
0.000 0.000 7.164
Sn Pd S O
4 4 4 4
direct
0.242 0.081 0.490
0.258 0.919 0.990
0.742 0.419 0.510
0.758 0.581 0.010
0.229 0.515 0.254
0.271 0.485 0.754
0.729 0.985 0.746
0.771 0.015 0.246
0.014 0.746 0.703
0.486 0.254 0.203
0.514 0.754 0.297
0.986 0.246 0.797
0.005 0.770 0.164
0.495 0.230 0.664
0.505 0.730 0.836
0.995 0.270 0.336
```


<two>
A relaxed structure of SnPdSO. Source: the Open Quantum Materials Database, functional PBE.

SG: P4/nmm, No. 129
Calculated volume in Å³ per atom: 19.2

The structure in POSCAR format:
```
SnPdSO
1.0
4.310 0.000 0.000
0.000 4.310 0.000
0.000 0.000 8.286
Sn Pd S O
2 2 2 2
direct
0.250 0.250 0.144
0.750 0.750 0.856
0.250 0.250 0.616
0.750 0.750 0.384
0.250 0.750 0.500
0.750 0.250 0.500
0.250 0.250 0.903
0.750 0.750 0.097
```


Going by the energies, <one> is most stable and the next is 0.102 eV/atom up.


<one>
A relaxed structure of SnPdSO. Source: the Open Quantum Materials Database, functional PBE.

SG: P6_3mc, No. 186
Calculated volume in Å³ per atom: 17.3

The structure in POSCAR format:
```
SnPdSO
1.0
3.590 0.000 0.000
-1.795 3.109 0.000
0.000 0.000 12.423
Sn Pd S O
2 2 2 2
direct
0.333 0.667 0.000
0.667 0.333 0.500
0.000 0.000 0.253
0.000 0.000 0.753
0.333 0.667 0.347
0.667 0.333 0.847
0.000 0.000 0.071
0.000 0.000 0.571
```


<two>
A relaxed structure of SnPdSO. Source: the Open Quantum Materials Database, functional PBE.

SG: Cmc2_1, No. 36
Calculated volume in Å³ per atom: 17.9

The structure in POSCAR format:
```
SnPdSO
1.0
1.961 -7.529 0.000
1.961 7.529 0.000
0.000 0.000 4.846
Sn Pd S O
2 2 2 2
direct
0.087 0.913 0.500
0.913 0.087 0.000
0.322 0.678 0.728
0.678 0.322 0.228
0.308 0.692 0.219
0.692 0.308 0.719
0.043 0.957 0.091
0.957 0.043 0.591
```


Going by the energies, <one> is most stable and the next is 0.017 eV/atom up.